Computed, not measured: a geometry-optimized LaErCdSi structure at the PBE level of DFT.

## Properties
Total magnetization = 0.0 μB/f.u.
Density = 7.4 Mg/m³
Uncorrected formation energy = -0.39 eV/atom

```
4
Lattice="5.222 0.000 0.000 2.611 4.522 0.000 2.611 1.507 4.264" Properties=species:S:1:pos:R:3 pbc="T T T"
Cd 7.833 4.522 3.198
Si 2.611 1.507 1.066
La 5.222 3.015 2.132
Er 0.000 0.000 0.000
```


Computed, not measured: a geometry-optimized La2Sm2ErCd5 structure at the PBE level of DFT.

## Properties
Total magnetization = 0.0 μB/f.u.
Density = 7.7 Mg/m³
Energy relative to the elements = -0.201 eV per atom

```
20
Lattice="4.839 0.000 0.000 0.000 10.767 0.000 0.000 0.000 10.767" Properties=species:S:1:pos:R:3 pbc="T T T"
La 0.000 7.269 1.886
La 0.000 3.498 8.882
La 0.000 1.886 3.498
La 0.000 8.882 7.269
Sm 0.000 1.350 6.734
Sm 0.000 9.417 4.033
Sm 0.000 6.734 9.417
Sm 0.000 4.033 1.350
Er 0.000 0.000 0.000
Er 0.000 5.384 5.384
Cd 2.420 2.054 0.706
Cd 2.420 8.713 10.062
Cd 2.420 0.706 8.713
Cd 2.420 7.438 4.678
Cd 2.420 10.062 2.054
Cd 2.420 3.329 6.089
Cd 2.420 6.089 7.438
Cd 2.420 4.678 3.329
Cd 2.420 5.384 0.000
Cd 2.420 0.000 5.384
```


Computed, not measured: a geometry-optimized La2SmEr2Cd5 structure at the PBE level of DFT.

## Properties
Total magnetization = 0.0 μB/f.u.
Density = 7.9 Mg/m³
Energy relative to the elements = -0.214 eV per atom

```
20
Lattice="4.807 0.000 0.000 0.000 10.750 0.000 0.000 0.000 10.750" Properties=species:S:1:pos:R:3 pbc="T T T"
La 0.000 7.268 1.893
La 0.000 3.481 8.856
La 0.000 1.893 3.481
La 0.000 8.856 7.268
Sm 0.000 0.000 0.000
Sm 0.000 5.375 5.375
Er 0.000 1.309 6.683
Er 0.000 9.441 4.066
Er 0.000 6.683 9.441
Er 0.000 4.066 1.309
Cd 2.403 2.126 0.735
Cd 2.403 8.624 10.015
Cd 2.403 0.735 8.624
Cd 2.403 7.501 4.640
Cd 2.403 10.015 2.126
Cd 2.403 3.249 6.109
Cd 2.403 6.109 7.501
Cd 2.403 4.640 3.249
Cd 2.403 5.375 0.000
Cd 2.403 0.000 5.375
```


Computed, not measured: a geometry-optimized LaSmErCd structure at the PBE level of DFT.

## Properties
Distance to the lowest polymorph of the same formula = 0.347 eV per formula unit
Total magnetization = 0.0 μB/f.u.
Density = 7.7 Mg/m³
Energy relative to the elements = -0.054 eV per atom

```
4
Lattice="-0.199 0.382 5.554 3.726 -2.729 3.115 3.942 2.824 2.741" Properties=species:S:1:pos:R:3 pbc="T T T"
Cd 5.602 0.358 8.557
La 3.734 0.238 5.705
Sm 0.000 0.000 0.000
Er 1.867 0.119 2.852
```